Entry 1:
A relaxed structure of K2TeIr, computed with PBE.

Geometry as extended XYZ:
```
4
Lattice="6.131 0.004 -0.017 3.118 5.279 0.017 -4.613 -2.661 3.037" Properties=species:S:1:pos:R:3 pbc="T T T"
Ir 3.071 -0.008 1.510
K 9.248 5.282 0.000
K 4.625 2.642 0.000
Te 1.565 2.629 1.527
```

VASP energy = -3.32 eV/atom
ΔE_f (raw) = 0.918 eV/f.u.

=====

Entry 2:
A relaxed structure of KTe2Ir, computed with PBE.

Geometry as extended XYZ:
```
4
Lattice="-0.461 2.571 3.109 -2.963 -1.294 0.631 3.449 -5.467 5.032" Properties=species:S:1:pos:R:3 pbc="T T T"
Ir -0.109 -0.405 2.970
K 0.135 -3.785 5.802
Te -0.584 -0.567 0.382
Te 0.828 -2.814 2.450
```

VASP energy = -4.30 eV/atom
ΔE_f (raw) = -0.945 eV/f.u.

=====

Entry 3:
A relaxed structure of KTe8Ir5, computed with PBE.

Geometry as extended XYZ:
```
14
Lattice="-0.903 3.282 -2.249 -7.427 -4.238 -3.204 -2.747 3.336 9.674" Properties=species:S:1:pos:R:3 pbc="T T T"
K -6.909 2.853 6.938
Te -2.639 1.752 3.618
Te -8.438 0.629 0.605
Te -4.692 -0.249 1.521
Te -6.386 2.631 2.703
Te -6.785 -2.653 -1.148
Te -4.292 5.034 5.371
Te -9.034 0.682 4.623
Te -2.045 1.699 -0.400
Ir -6.982 0.015 2.825
Ir -4.096 2.367 1.398
Ir -2.289 3.317 5.761
Ir -8.789 -0.935 -1.538
Ir -0.001 0.000 0.001
```

VASP energy = -5.30 eV/atom
ΔE_f (raw) = -3.712 eV/f.u.

=====

Entry 4:
A relaxed structure of KTe2Ir, computed with PBE.

Geometry as extended XYZ:
```
4
Lattice="-1.398 3.119 -1.451 0.203 -1.489 -3.396 -8.165 -3.229 0.927" Properties=species:S:1:pos:R:3 pbc="T T T"
Ir -2.562 -1.013 0.291
K -6.889 -1.674 -1.709
Te -0.197 -0.078 0.022
Te -3.794 -0.450 -2.060
```

VASP energy = -4.09 eV/atom
ΔE_f (raw) = -0.129 eV/f.u.

=====

Entry 5:
A relaxed structure of KTe2Ir, computed with PBE.

Geometry as extended XYZ:
```
4
Lattice="-0.544 -4.152 -4.186 4.002 0.062 -4.363 0.092 0.149 5.918" Properties=species:S:1:pos:R:3 pbc="T T T"
Ir 1.729 -2.045 -4.274
K 0.638 -3.024 -1.271
Te 0.000 0.000 0.000
Te 2.912 -0.917 -1.359
```

VASP energy = -3.59 eV/atom
ΔE_f (raw) = 1.868 eV/f.u.

=====

Entry 6:
A relaxed structure of KTeIr4, computed with PBE.

Geometry as extended XYZ:
```
6
Lattice="2.376 -2.107 4.355 -2.368 0.409 4.825 -2.087 -4.375 2.357" Properties=species:S:1:pos:R:3 pbc="T T T"
K -1.559 -4.555 8.653
Te 0.000 0.000 0.000
Ir 0.409 -3.331 6.505
Ir -1.824 -4.466 5.505
Ir -1.964 -2.072 6.740
Ir -0.779 -2.277 4.325
```

VASP energy = -6.04 eV/atom
ΔE_f (raw) = 3.458 eV/f.u.

=====

Entry 7:
A relaxed structure of K2TeIr, computed with PBE.

Geometry as extended XYZ:
```
8
Lattice="-12.354 -0.668 2.758 -0.308 -11.932 -4.268 -5.782 -7.122 1.505" Properties=species:S:1:pos:R:3 pbc="T T T"
K -12.269 -3.855 2.250
K -12.472 -9.823 0.128
K -9.008 -7.107 1.621
K -15.184 -7.394 3.017
Ir 0.000 0.000 0.000
Ir -12.233 -7.045 1.754
Te -6.331 -6.300 -0.755
Te -6.210 -12.677 -1.759
```

VASP energy = -3.61 eV/atom
ΔE_f (raw) = -0.246 eV/f.u.

=====

Entry 8:
A relaxed structure of KTe2Ir, computed with PBE.

Geometry as extended XYZ:
```
4
Lattice="-3.750 1.089 -2.508 -2.488 0.173 3.794 0.202 6.567 2.548" Properties=species:S:1:pos:R:3 pbc="T T T"
Ir -1.058 1.626 2.287
K -3.343 5.999 3.307
Te -0.077 0.360 0.272
Te -2.701 3.214 1.139
```

VASP energy = -4.32 eV/atom
ΔE_f (raw) = -1.023 eV/f.u.

=====

Entry 9:
A relaxed structure of K2TeIr, computed with PBE.

Geometry as extended XYZ:
```
4
Lattice="-1.963 2.234 3.371 -4.215 1.498 -0.449 -5.254 -6.891 4.425" Properties=species:S:1:pos:R:3 pbc="T T T"
Ir -8.174 -1.352 5.079
K -4.876 -5.883 4.008
K -3.236 -1.799 2.254
Te -6.116 -2.597 4.105
```

VASP energy = -3.69 eV/atom
ΔE_f (raw) = -0.543 eV/f.u.

=====

Entry 10:
A relaxed structure of KTe4Ir, computed with PBE.

Geometry as extended XYZ:
```
6
Lattice="-5.317 1.426 3.225 -3.003 5.524 -1.083 -5.634 0.035 -2.994" Properties=species:S:1:pos:R:3 pbc="T T T"
K 0.000 0.000 0.000
Te -7.876 3.335 1.264
Te -8.032 2.651 -1.792
Te -6.739 5.350 -0.853
Te -5.263 2.634 -0.321
Ir -10.466 5.239 -0.638
```

VASP energy = -3.02 eV/atom
ΔE_f (raw) = 4.397 eV/f.u.

=====

Entry 11:
A relaxed structure of K2TeIr, computed with PBE.

Geometry as extended XYZ:
```
4
Lattice="-0.609 -3.731 -2.849 -0.311 -3.261 4.337 -5.710 -0.862 2.350" Properties=species:S:1:pos:R:3 pbc="T T T"
Ir -4.493 -4.381 2.766
K -5.582 -3.978 6.404
K -2.247 -3.041 0.531
Te -3.342 -2.637 4.168
```

VASP energy = -3.68 eV/atom
ΔE_f (raw) = -0.513 eV/f.u.

=====

Entry 12:
A relaxed structure of KTe2Ir, computed with PBE.

Geometry as extended XYZ:
```
4
Lattice="-1.912 2.241 5.525 4.283 -1.908 4.149 -0.902 3.609 -5.037" Properties=species:S:1:pos:R:3 pbc="T T T"
Ir 2.284 0.934 1.975
K -0.814 3.008 2.663
Te 0.180 0.025 0.735
Te 1.005 0.141 4.102
```

VASP energy = -4.32 eV/atom
ΔE_f (raw) = -1.026 eV/f.u.

=====

Entry 13:
A relaxed structure of K2TeIr, computed with PBE.

Geometry as extended XYZ:
```
4
Lattice="-0.575 4.838 1.958 -1.210 -1.296 2.846 4.170 -1.536 5.019" Properties=species:S:1:pos:R:3 pbc="T T T"
Ir 1.932 0.295 6.878
K 4.135 -1.533 5.000
K 1.514 -1.420 3.952
Te 0.453 1.711 2.946
```

VASP energy = -3.28 eV/atom
ΔE_f (raw) = 1.089 eV/f.u.

=====

Entry 14:
A relaxed structure of KV2TeIr, computed with PBE.

Geometry as extended XYZ:
```
5
Lattice="4.992 0.000 0.000 0.000 5.034 0.000 0.000 0.000 4.992" Properties=species:S:1:pos:R:3 pbc="T T T"
K 2.496 2.517 2.496
Ir 0.000 2.517 0.000
Te 0.000 0.000 0.000
V 0.000 0.000 2.496
V 2.496 0.000 0.000
```

VASP energy = -4.90 eV/atom
ΔE_f (raw) = 6.824 eV/f.u.

=====

Entry 15:
A relaxed structure of KZrTeIr2, computed with PBE.

Geometry as extended XYZ:
```
5
Lattice="-0.166 2.139 4.452 -5.497 0.155 -0.279 -0.234 -4.453 2.131" Properties=species:S:1:pos:R:3 pbc="T T T"
K -2.749 0.078 -0.139
Ir -0.117 -2.226 1.066
Ir -0.083 1.070 2.226
Te 0.000 0.000 0.000
Zr -2.948 -1.079 3.152
```

VASP energy = -4.75 eV/atom
ΔE_f (raw) = 6.757 eV/f.u.

=====

Entry 16:
A relaxed structure of KTiIr2, computed with PBE.

Geometry as extended XYZ:
```
4
Lattice="4.373 0.729 1.275 1.016 3.451 2.887 1.327 -0.922 4.321" Properties=species:S:1:pos:R:3 pbc="T T T"
K 0.000 0.000 0.000
Ir 1.679 0.814 2.121
Ir 5.036 2.443 6.362
Ti 3.358 1.629 4.242
```

VASP energy = -6.12 eV/atom
formation energy from the elements = 0.559 eV per atom

=====

Entry 17:
A relaxed structure of KTiIr2, computed with PBE.

Geometry as extended XYZ:
```
8
Lattice="5.172 0.000 0.000 0.000 5.172 0.000 2.586 2.586 8.129" Properties=species:S:1:pos:R:3 pbc="T T T"
K 2.586 2.586 0.000
K 2.586 5.172 4.064
Ir 5.171 1.293 2.032
Ir 5.173 3.879 2.032
Ir 3.879 2.587 6.096
Ir 6.465 2.585 6.096
Ti 0.000 0.000 0.000
Ti 5.172 2.586 4.064
```

VASP energy = -6.10 eV/atom
formation energy from the elements = 0.581 eV per atom

=====

Entry 18:
A relaxed structure of KTl2Ir, computed with PBE.

Geometry as extended XYZ:
```
4
Lattice="3.288 0.000 0.000 0.000 4.335 0.000 0.000 0.000 8.436" Properties=species:S:1:pos:R:3 pbc="T T T"
Ir 0.000 0.000 3.121
K 1.644 2.167 6.212
Tl 0.000 0.000 0.380
Tl 1.644 2.167 2.941
```

VASP energy = -3.40 eV/atom
formation energy from the elements = 0.277 eV per atom

=====

Entry 19:
A relaxed structure of K2TlIr, computed with PBE.

Geometry as extended XYZ:
```
4
Lattice="6.464 -0.091 0.026 5.168 3.883 0.026 2.482 0.809 5.029" Properties=species:S:1:pos:R:3 pbc="T T T"
Ir 3.151 1.027 1.484
K 11.338 3.697 0.209
K 10.757 3.507 3.719
Tl 7.559 2.464 2.264
```

VASP energy = -2.96 eV/atom
formation energy from the elements = 0.392 eV per atom

=====

Entry 20:
A relaxed structure of K2TlIr, computed with PBE.

Geometry as extended XYZ:
```
4
Lattice="3.328 -2.161 3.817 -1.339 0.337 5.330 -1.530 -4.521 2.745" Properties=species:S:1:pos:R:3 pbc="T T T"
Tl 0.230 -3.172 5.946
Ir 0.000 0.000 0.000
K 0.115 -1.586 2.973
K 0.344 -4.758 8.919
```

VASP energy = -2.63 eV/atom
formation energy from the elements = 0.729 eV per atom